# Sr2Ag2TeSF2

An optimized crystal structure of Sr2Ag2TeSF2 (PBE, the Open Quantum Materials Database).

a = 4.2018 Å, b = 4.2018 Å, c = 9.3275 Å
α = 90.00°, β = 90.00°, γ = 90.00°
Last column: nearest neighbours and their distance in Å.
Fractional coordinates of all 8 atoms:
Sr (0.0000, 0.0000, 0.0000)  4 F 2.52
Sr (0.5000, 0.5000, 0.2924)  4 F 2.49
Ag (0.0000, 0.5000, 0.6819)  2 S 2.69, 2 Te 2.88, 4 Ag 2.97
Ag (0.5000, 0.0000, 0.6819)  2 S 2.69, 2 Te 2.88, 4 Ag 2.97
Te (0.0000, 0.0000, 0.4705)  4 Ag 2.88
S (0.5000, 0.5000, 0.8621)  4 Ag 2.69
F (0.0000, 0.5000, 0.1490)  4 Sr 2.49-2.52
F (0.5000, 0.0000, 0.1490)  4 Sr 2.49-2.52

## Properties
E_tot	-35.9	eV per formula unit
calculated volume	20.585	Å³/atom
calculated density	5.9	Mg/m³